Entry 1:
Density functional theory data (PBE) for a relaxed structure of Bi3BPt.

DFT formation energy: 1.2336 eV per atom

Cell and atoms, written as CIF:
```
data_Bi3BPt
_symmetry_space_group_name_H-M 'P 1'
_symmetry_Int_Tables_number 1
_cell_length_a 5.443
_cell_length_b 5.443
_cell_length_c 5.443
_cell_angle_alpha 90.00
_cell_angle_beta 90.00
_cell_angle_gamma 90.00
loop_
_symmetry_equiv_pos_as_xyz
'x,y,z'
loop_
_atom_site_label
_atom_site_type_symbol
_atom_site_fract_x
_atom_site_fract_y
_atom_site_fract_z
Bi1 Bi 0.000 0.000 0.500
Bi2 Bi 0.500 0.000 0.000
Bi3 Bi 0.000 0.500 0.000
B1 B 0.500 0.500 0.500
Pt1 Pt 0.000 0.000 0.000
```

Entry 2:
Density functional theory data (PBE) for a relaxed structure of BiBPt4.

DFT formation energy: -0.1518 eV per atom

Cell and atoms, written as CIF:
```
data_BiBPt4
_symmetry_space_group_name_H-M 'P 1'
_symmetry_Int_Tables_number 1
_cell_length_a 4.928
_cell_length_b 6.206
_cell_length_c 7.172
_cell_angle_alpha 104.53
_cell_angle_beta 110.31
_cell_angle_gamma 89.84
loop_
_symmetry_equiv_pos_as_xyz
'x,y,z'
loop_
_atom_site_label
_atom_site_type_symbol
_atom_site_fract_x
_atom_site_fract_y
_atom_site_fract_z
Pt1 Pt 0.910 0.847 0.588
Pt2 Pt 0.294 0.553 0.807
Pt3 Pt 0.090 0.153 0.412
Pt4 Pt 0.679 0.345 0.587
Pt5 Pt 0.321 0.655 0.413
Pt6 Pt 0.488 0.941 0.193
Pt7 Pt 0.512 0.059 0.807
Pt8 Pt 0.706 0.447 0.193
Bi1 Bi 0.125 0.250 0.004
Bi2 Bi 0.875 0.750 0.996
B1 B 0.000 0.500 0.500
B2 B 0.500 0.000 0.500
```